(1)
LuAlFeNi | PBE-GGA | relaxed

abc: 4.3537 4.3537 4.3537
angles: 60.00 60.00 60.00
With the nearest neighbours (Å) after each atom.
Fractional coordinates of all 4 atoms:
Al 0.0000 0.0000 0.0000  4 Fe 2.67, 4 Ni 2.67
Fe 0.7500 0.7500 0.7500  4 Al 2.67, 4 Lu 2.67
Lu 0.5000 0.5000 0.5000  4 Fe 2.67, 4 Ni 2.67
Ni 0.2500 0.2500 0.2500  4 Al 2.67, 4 Lu 2.67

**Size of the total moment**: 0.00 μB/atom
**SG**: F-43m
**Crystal system**: cubic
**Total energy**: -23.33 eV/cell



(2)
ZrFeSi2Ni | PBE-GGA | relaxed

abc: 5.5551 5.5551 5.5551
angles: 140.57 140.57 56.99
With the nearest neighbours (Å) after each atom.
Fractional coordinates of all 5 atoms:
Fe 0.0000 0.0000 0.0000  4 Si 2.26
Ni 0.5000 0.5000 0.0000  4 Si 2.26
Si 0.1295 0.6295 0.5000  2 Fe 2.26, 2 Ni 2.26, 1 Si 2.35
Si 0.3705 0.8705 0.5000  2 Ni 2.26, 2 Fe 2.26, 1 Si 2.35
Zr 0.7500 0.2500 0.5000  8 Si 2.90, 4 Fe 3.08, 4 Ni 3.08

**Size of the total moment**: 0.00 μB/atom
**SG**: I-4m2
**Crystal system**: tetragonal
**Total energy**: -36.92 eV/cell



(3)
Er2Co3Ge5 | PBE-GGA | relaxed

abc: 5.7128 8.0570 8.0570
angles: 93.46 109.59 109.59
With the nearest neighbours (Å) after each atom.
Fractional coordinates of all 20 atoms:
Co 0.2500 0.9969 0.0031  5 Ge 2.40-2.49
Co 0.3821 0.5410 0.2595  5 Ge 2.30-2.41
Co 0.1179 0.7405 0.4590  5 Ge 2.30-2.41
Co 0.8821 0.2595 0.5410  5 Ge 2.30-2.41
Co 0.6179 0.4590 0.7405  5 Ge 2.30-2.41
Co 0.7500 0.0031 0.9969  5 Ge 2.40-2.49
Er 0.7676 0.4080 0.1279  10 Ge 2.88-3.21, 4 Co 3.04-3.20
Er 0.2676 0.1279 0.4080  10 Ge 2.88-3.21, 4 Co 3.04-3.20
Er 0.7324 0.8721 0.5920  10 Ge 2.88-3.21, 4 Co 3.04-3.20
Er 0.2324 0.5920 0.8721  10 Ge 2.88-3.21, 4 Co 3.04-3.20
Ge 0.1719 0.2610 0.0781  3 Co 2.30-2.44
Ge 0.2500 0.7846 0.2154  3 Co 2.33-2.49
Ge 0.7500 0.7732 0.2268  2 Co 2.40, 2 Ge 2.65
Ge 0.6719 0.0781 0.2610  3 Co 2.30-2.44
Ge 0.7500 0.5079 0.4921  4 Co 2.37-2.41
Ge 0.2500 0.4921 0.5079  4 Co 2.37-2.41
Ge 0.3281 0.9219 0.7390  3 Co 2.30-2.44
Ge 0.2500 0.2268 0.7732  2 Co 2.40, 2 Ge 2.65
Ge 0.7500 0.2154 0.7846  3 Co 2.33-2.49
Ge 0.8281 0.7390 0.9219  3 Co 2.30-2.44

**Size of the total moment**: 0.00 μB/atom
**SG**: C2/c
**Crystal system**: monoclinic
**Total energy**: -118.53 eV/cell



(4)
Li2PrCuAs2 | PBE-GGA | relaxed

abc: 4.2577 4.2577 6.8260
angles: 90.00 90.00 120.00
With the nearest neighbours (Å) after each atom.
Fractional coordinates of all 6 atoms:
As 0.3333 0.6667 0.2644  4 Li 2.54-2.57
As 0.6667 0.3333 0.7356  4 Li 2.54-2.57
Cu 0.0000 0.0000 0.5000  6 Li 2.64, 6 As 2.94
Li 0.6667 0.3333 0.3596  4 As 2.54-2.57, 3 Cu 2.64
Li 0.3333 0.6667 0.6404  4 As 2.54-2.57, 3 Cu 2.64
Pr 0.0000 0.0000 0.0000  6 As 3.05, 2 Cu 3.41

**Size of the total moment**: 0.00 μB/atom
**SG**: P-3m1
**Crystal system**: trigonal
**Total energy**: -26.12 eV/cell



(5)
PrSiIr | PBE-GGA | relaxed

abc: 4.5313 4.5313 4.5313
angles: 60.00 60.00 60.00
With the nearest neighbours (Å) after each atom.
Fractional coordinates of all 3 atoms:
Ir 0.2500 0.2500 0.2500  4 Si 2.77
Pr 0.7500 0.7500 0.7500  4 Si 2.77
Si 0.0000 0.0000 0.0000  4 Pr 2.77, 4 Ir 2.77

**Size of the total moment**: 0.00 μB/atom
**SG**: F-43m
**Crystal system**: cubic
**Total energy**: -19.50 eV/cell



(6)
Y2AgPd | PBE-GGA | relaxed

abc: 4.9018 4.9018 4.9018
angles: 60.00 60.00 60.00
With the nearest neighbours (Å) after each atom.
Fractional coordinates of all 4 atoms:
Ag 0.7500 0.7500 0.7500  4 Pd 3.00, 4 Y 3.00
Pd 0.0000 0.0000 0.0000  4 Ag 3.00, 4 Y 3.00
Y 0.2500 0.2500 0.2500  4 Y 3.00, 4 Pd 3.00
Y 0.5000 0.5000 0.5000  4 Y 3.00, 4 Ag 3.00

**Size of the total moment**: 0.00 μB/atom
**Energy of formation from the pure elements**: -1.3 eV/f.u.
**SG**: F-43m
**Crystal system**: cubic
**Total energy**: -22.24 eV/cell



(7)
Cs2Dy | PBE-GGA | relaxed

abc: 8.0289 8.0289 8.0289
angles: 60.00 60.00 60.00
With the nearest neighbours (Å) after each atom.
Fractional coordinates of all 6 atoms:
Cs 0.6250 0.6250 0.1250  6 Cs 4.01
Cs 0.6250 0.1250 0.6250  6 Cs 4.01
Cs 0.1250 0.6250 0.6250  6 Cs 4.01
Cs 0.6250 0.6250 0.6250  6 Cs 4.01
Dy 0.0000 0.0000 0.0000  12 Cs 4.71, 4 Dy 4.92
Dy 0.2500 0.2500 0.2500  12 Cs 4.71, 4 Dy 4.92

**Size of the total moment**: 0.49 μB/atom
**SG**: Fd-3m
**Crystal system**: cubic
**Total energy**: -7.28 eV/cell



(8)
CsHo2CuS4 | PBE-GGA | relaxed

abc: 7.2820 7.2820 13.7904
angles: 90.00 90.00 148.17
With the nearest neighbours (Å) after each atom.
Fractional coordinates of all 16 atoms:
Cs 0.1071 0.8929 0.2500  6 S 3.30-3.42
Cs 0.8929 0.1071 0.7500  6 S 3.30-3.42
Cu 0.8335 0.1665 0.2500  4 S 2.33-2.35
Cu 0.1665 0.8335 0.7500  4 S 2.33-2.35
Ho 0.3663 0.6337 0.0613  6 S 2.69-2.87
Ho 0.3663 0.6337 0.4387  6 S 2.69-2.87
Ho 0.6337 0.3663 0.5613  6 S 2.69-2.87
Ho 0.6337 0.3663 0.9387  6 S 2.69-2.87
S 0.0000 0.0000 0.0000  4 Ho 2.87
S 0.7446 0.2554 0.1051  1 Cu 2.35
S 0.4195 0.5805 0.2500  2 Cu 2.33
S 0.7446 0.2554 0.3949  1 Cu 2.35
S 0.0000 0.0000 0.5000  4 Ho 2.87
S 0.2554 0.7446 0.6051  1 Cu 2.35
S 0.5805 0.4195 0.7500  2 Cu 2.33
S 0.2554 0.7446 0.8949  1 Cu 2.35

**Size of the total moment**: 0.00 μB/atom
**SG**: Cmcm
**Crystal system**: orthorhombic
**Total energy**: -86.58 eV/cell



(9)
LiPm | PBE-GGA | relaxed

abc: 3.3962 3.3961 5.5116
angles: 90.00 90.00 120.00
With the nearest neighbours (Å) after each atom.
Fractional coordinates of all 2 atoms:
Li 0.6667 0.3333 0.7500  6 Pm 3.38, 6 Li 3.40
Pm 0.3333 0.6667 0.2500  6 Li 3.38, 6 Pm 3.40

**Size of the total moment**: 0.01 μB/atom
**SG**: P-6m2
**Crystal system**: hexagonal
**Total energy**: -6.32 eV/cell



(10)
SmYBi | PBE-GGA | relaxed

abc: 5.2192 5.2192 5.2192
angles: 60.00 60.00 60.00
With the nearest neighbours (Å) after each atom.
Fractional coordinates of all 3 atoms:
Bi 0.0000 0.0000 0.0000  4 Y 3.20, 4 Sm 3.20
Sm 0.2500 0.2500 0.2500  4 Bi 3.20
Y 0.7500 0.7500 0.7500  4 Bi 3.20

**Size of the total moment**: 0.00 μB/atom
**SG**: F-43m
**Crystal system**: cubic
**Total energy**: -16.36 eV/cell



(11)
WN | PBE-GGA | relaxed

abc: 3.0780 3.0780 3.0780
angles: 60.00 60.00 60.00
With the nearest neighbours (Å) after each atom.
Fractional coordinates of all 2 atoms:
N 0.0000 0.0000 0.0000  6 W 2.18
W 0.5000 0.5000 0.5000  6 N 2.18

**Size of the total moment**: 0.00 μB/atom
**SG**: Fm-3m
**Crystal system**: cubic
**Total energy**: -20.62 eV/cell



(12)
Ta2BeCo | PBE-GGA | relaxed

abc: 4.3124 4.3124 4.3124
angles: 60.00 60.00 60.00
With the nearest neighbours (Å) after each atom.
Fractional coordinates of all 4 atoms:
Be 0.5000 0.5000 0.5000  4 Co 2.64, 4 Ta 2.64
Co 0.2500 0.2500 0.2500  4 Be 2.64, 4 Ta 2.64
Ta 0.0000 0.0000 0.0000  4 Ta 2.64, 4 Co 2.64
Ta 0.7500 0.7500 0.7500  4 Ta 2.64, 4 Be 2.64

**Size of the total moment**: 0.57 μB/atom
**SG**: F-43m
**Crystal system**: cubic
**Total energy**: -33.15 eV/cell